No. 1
DFT (PBE) results for Pm3Pr7Tm2 after structural relaxation.

Computed properties:
Total moment in μB per cell: 0.00
ΔE_f in eV/atom: 0.0924
Energy above the lowest structure with this stoichiometry in kJ/mol of atoms: 0.0
E_tot in eV per atom: -4.63

```
data_Pm3Pr7Tm2
_space_group_name_H-M_alt 'P 1 2/m 1'
_space_group_IT_number 10
_cell_length_a 5.9855
_cell_length_b 3.6341
_cell_length_c 19.3577
_cell_angle_alpha 90.00
_cell_angle_beta 93.44
_cell_angle_gamma 90.00
loop_
_space_group_symop_operation_xyz
'x,y,z'
'-x,-y,-z'
'-x,y,-z'
'x,-y,z'
loop_
_atom_site_label
_atom_site_fract_x
_atom_site_fract_y
_atom_site_fract_z
Pm1 0.0000 0.0000 0.0000
Pm2 0.2805 0.5000 0.6340
Pr1 0.1813 0.5000 0.1467
Pr2 0.2432 0.0000 0.4651
Pr3 0.3163 0.0000 0.8159
Pr4 0.5000 0.5000 0.0000
Tm1 0.2103 0.0000 0.2970
```

=====

No. 2
DFT (PBE) results for Pm2Pr4Tm7 after structural relaxation.

Computed properties:
Total moment in μB per cell: 0.00
ΔE_f in eV/atom: 0.1814
E_tot in eV per atom: -4.43

```
data_Pm2Pr4Tm7
_space_group_name_H-M_alt 'P -1'
_space_group_IT_number 2
_cell_length_a 6.0952
_cell_length_b 8.5917
_cell_length_c 9.0768
_cell_angle_alpha 68.89
_cell_angle_beta 80.42
_cell_angle_gamma 81.50
loop_
_space_group_symop_operation_xyz
'x,y,z'
'-x,-y,-z'
loop_
_atom_site_label
_atom_site_fract_x
_atom_site_fract_y
_atom_site_fract_z
Pm1 0.1095 0.3854 0.2107
Pr1 0.0025 0.2966 0.6520
Pr2 0.1283 0.8297 0.9277
Tm1 0.0000 0.0000 0.5000
Tm2 0.3929 0.0017 0.1837
Tm3 0.4173 0.3842 0.8588
Tm4 0.4729 0.7746 0.5612
```

=====

No. 3
DFT (PBE) results for PmPrTm5 after structural relaxation.

Computed properties:
Total moment in μB per cell: 0.00
ΔE_f in eV/atom: 0.9985
Energy above the lowest structure with this stoichiometry in kJ/mol of atoms: 77.0
E_tot in eV per atom: -3.56

```
data_PmPrTm5
_space_group_name_H-M_alt 'I m m 2'
_space_group_IT_number 44
_cell_length_a 7.9886
_cell_length_b 11.6035
_cell_length_c 6.1711
_cell_angle_alpha 90.00
_cell_angle_beta 90.00
_cell_angle_gamma 90.00
loop_
_space_group_symop_operation_xyz
'x,y,z'
'-x,-y,z'
'-x,y,z'
'x,-y,z'
'x+1/2,y+1/2,z+1/2'
'-x+1/2,-y+1/2,z+1/2'
'-x+1/2,y+1/2,z+1/2'
'x+1/2,-y+1/2,z+1/2'
loop_
_atom_site_label
_atom_site_fract_x
_atom_site_fract_y
_atom_site_fract_z
Pm1 0.0000 0.0000 0.0000
Pr1 0.0000 0.5000 0.7472
Tm1 0.0000 0.2568 0.0211
Tm2 0.0000 0.5000 0.2751
Tm3 0.1809 0.0000 0.5074
```

=====

No. 4
DFT (PBE) results for Pm6Pr2Tm after structural relaxation.

Computed properties:
Total moment in μB per cell: 0.00
ΔE_f in eV/atom: 0.2174
Energy above the lowest structure with this stoichiometry in kJ/mol of atoms: 15.6
E_tot in eV per atom: -4.51

```
data_Pm6Pr2Tm
_space_group_name_H-M_alt 'C 1 2/c 1'
_space_group_IT_number 15
_cell_length_a 13.4814
_cell_length_b 14.9576
_cell_length_c 6.3916
_cell_angle_alpha 90.00
_cell_angle_beta 104.88
_cell_angle_gamma 90.00
loop_
_space_group_symop_operation_xyz
'x,y,z'
'-x,-y,-z'
'-x,y,-z+1/2'
'x,-y,z+1/2'
'x+1/2,y+1/2,z'
'-x+1/2,-y+1/2,-z'
'-x+1/2,y+1/2,-z+1/2'
'x+1/2,-y+1/2,z+1/2'
loop_
_atom_site_label
_atom_site_fract_x
_atom_site_fract_y
_atom_site_fract_z
Pm1 0.0579 0.1271 0.0182
Pm2 0.1056 0.4541 0.9378
Pm3 0.2016 0.2806 0.7245
Pr1 0.1994 0.0699 0.6045
Tm1 0.0000 0.3266 0.2500
```

=====

No. 5
DFT (PBE) results for Pm10PrTm6 after structural relaxation.

Computed properties:
Total moment in μB per cell: 0.00
ΔE_f in eV/atom: 0.1340
E_tot in eV per atom: -4.52

```
data_Pm10PrTm6
_space_group_name_H-M_alt 'P -3 1 m'
_space_group_IT_number 162
_space_group_name_Hall '-P 3 2'
_cell_length_a 9.7871
_cell_length_b 9.7871
_cell_length_c 6.8776
_cell_angle_alpha 90.00
_cell_angle_beta 90.00
_cell_angle_gamma 120.00
loop_
_atom_site_label
_atom_site_fract_x
_atom_site_fract_y
_atom_site_fract_z
Pm1 0.0000 0.2791 0.3208
Pm2 0.3333 0.6667 0.0000
Pm3 0.3333 0.6667 0.5000
Pr1 0.0000 0.0000 0.0000
Tm1 0.0000 0.3699 0.8129
```

=====

No. 6
DFT (PBE) results for Pm7Pr2Tm2 after structural relaxation.

Computed properties:
Total moment in μB per cell: 0.00
ΔE_f in eV/atom: 0.1713
Energy above the lowest structure with this stoichiometry in kJ/mol of atoms: 0.0
E_tot in eV per atom: -4.53

```
data_Pm7Pr2Tm2
_space_group_name_H-M_alt 'C 1 2/m 1'
_space_group_IT_number 12
_cell_length_a 9.7532
_cell_length_b 9.3898
_cell_length_c 8.5769
_cell_angle_alpha 90.00
_cell_angle_beta 103.25
_cell_angle_gamma 90.00
loop_
_space_group_symop_operation_xyz
'x,y,z'
'-x,-y,-z'
'-x,y,-z'
'x,-y,z'
'x+1/2,y+1/2,z'
'-x+1/2,-y+1/2,-z'
'-x+1/2,y+1/2,-z'
'x+1/2,-y+1/2,z'
loop_
_atom_site_label
_atom_site_fract_x
_atom_site_fract_y
_atom_site_fract_z
Pm1 0.0000 0.0000 0.0000
Pm2 0.1954 0.5000 0.5191
Pm3 0.2020 0.2984 0.1892
Pr1 0.1016 0.5000 0.8506
Tm1 0.0000 0.1882 0.5000
```

=====

No. 7
DFT (PBE) results for PmPr14Tm after structural relaxation.

Computed properties:
Total moment in μB per cell: 0.00
ΔE_f in eV/atom: 0.0123
E_tot in eV per atom: -4.75

```
data_PmPr14Tm
_space_group_name_H-M_alt 'P 4/m m m'
_space_group_IT_number 123
_space_group_name_Hall '-P 4 2'
_cell_length_a 7.3834
_cell_length_b 7.3834
_cell_length_c 10.4673
_cell_angle_alpha 90.00
_cell_angle_beta 90.00
_cell_angle_gamma 90.00
loop_
_atom_site_label
_atom_site_fract_x
_atom_site_fract_y
_atom_site_fract_z
Pm1 0.0000 0.0000 0.0000
Pr1 0.0000 0.0000 0.5000
Pr2 0.0000 0.5000 0.0000
Pr3 0.0000 0.5000 0.5000
Pr4 0.2512 0.2512 0.2475
Pr5 0.5000 0.5000 0.5000
Tm1 0.5000 0.5000 0.0000
```

=====

No. 8
DFT (PBE) results for Pm3Pr4Tm4 after structural relaxation.

Computed properties:
Total moment in μB per cell: 0.00
ΔE_f in eV/atom: 0.0135
Energy above the lowest structure with this stoichiometry in kJ/mol of atoms: 0.0
E_tot in eV per atom: -4.65

```
data_Pm3Pr4Tm4
_space_group_name_H-M_alt 'P -1'
_space_group_IT_number 2
_cell_length_a 3.6318
_cell_length_b 5.0864
_cell_length_c 20.1143
_cell_angle_alpha 82.76
_cell_angle_beta 84.88
_cell_angle_gamma 90.00
loop_
_space_group_symop_operation_xyz
'x,y,z'
'-x,-y,-z'
loop_
_atom_site_label
_atom_site_fract_x
_atom_site_fract_y
_atom_site_fract_z
Pm1 0.0000 0.0000 0.0000
Pm2 0.3624 0.3641 0.2737
Pr1 0.1833 0.1836 0.6336
Pr2 0.4537 0.4548 0.0928
Tm1 0.0908 0.0905 0.8160
Tm2 0.2717 0.2717 0.4566
```

=====

Please write out number 1 again, unchanged.
DFT (PBE) results for Pm3Pr7Tm2 after structural relaxation.

Computed properties:
Total moment in μB per cell: 0.00
ΔE_f in eV/atom: 0.0924
Energy above the lowest structure with this stoichiometry in kJ/mol of atoms: 0.0
E_tot in eV per atom: -4.63

```
data_Pm3Pr7Tm2
_space_group_name_H-M_alt 'P 1 2/m 1'
_space_group_IT_number 10
_cell_length_a 5.9855
_cell_length_b 3.6341
_cell_length_c 19.3577
_cell_angle_alpha 90.00
_cell_angle_beta 93.44
_cell_angle_gamma 90.00
loop_
_space_group_symop_operation_xyz
'x,y,z'
'-x,-y,-z'
'-x,y,-z'
'x,-y,z'
loop_
_atom_site_label
_atom_site_fract_x
_atom_site_fract_y
_atom_site_fract_z
Pm1 0.0000 0.0000 0.0000
Pm2 0.2805 0.5000 0.6340
Pr1 0.1813 0.5000 0.1467
Pr2 0.2432 0.0000 0.4651
Pr3 0.3163 0.0000 0.8159
Pr4 0.5000 0.5000 0.0000
Tm1 0.2103 0.0000 0.2970
```